[1]
Compound: NaCuO
Source: Alexandria
Functional: PBE
Structure: relaxed

Computed properties:
* crystal system: orthorhombic
* formation energy (no corrections): -919 meV per atom

a b c (Å): 8.033 4.887 5.021
angles (deg): 90.00 90.00 90.00
Fractional coordinates of all 12 atoms:
Na  0.150  0.250  0.006
Na  0.350  0.750  0.506
Na  0.650  0.250  0.494
Na  0.850  0.750  0.994
Cu  0.000  0.000  0.500
Cu  0.000  0.500  0.500
Cu  0.500  0.000  0.000
Cu  0.500  0.500  0.000
O  0.091  0.750  0.267
O  0.409  0.250  0.767
O  0.591  0.750  0.233
O  0.909  0.250  0.733

***

[2]
Compound: CrFe2Au
Source: Alexandria
Functional: PBE
Structure: relaxed

Computed properties:
* formation enthalpy at 0 K: 13 kJ per mole of atoms
* crystal system: tetragonal

a b c (Å): 4.695 4.695 4.695
angles (deg): 133.03 133.03 68.60
Fractional coordinates of all 4 atoms:
Cr  0.000  0.000  0.000
Fe  0.250  0.750  0.500
Fe  0.750  0.250  0.500
Au  0.500  0.500  0.000